## Pm8Dy3Ho2 (PBE)

Data for Pm8Dy3Ho2 after structural relaxation.

Unit cell a=6.153 b=6.783 c=11.974 alpha=87.12 beta=76.02 gamma=63.88
Element x y z (fractional)
Pm 0.118 0.089 0.328
Pm 0.247 0.378 0.736
Pm 0.273 0.688 0.114
Pm 0.350 0.834 0.803
Pm 0.650 0.166 0.197
Pm 0.727 0.312 0.886
Pm 0.753 0.622 0.264
Pm 0.882 0.911 0.672
Dy 0.192 0.227 0.034
Dy 0.500 0.000 0.500
Dy 0.808 0.773 0.966
Ho 0.232 0.566 0.428
Ho 0.768 0.434 0.572

Properties
Fermi-level density of states ... 20.45 states/eV/f.u.
Polymorph energy (0 for the lowest one) ... 0 meV per atom
Final energy ... -60.08 eV/f.u.
Volume ... 33.424 Å³/atom
Space-group type ... P-1 (2)
Size of the total moment ... 0.0 Bohr magnetons per cell

***

## PmDyHo3 (PBE)

Data for PmDyHo3 after structural relaxation.

Unit cell a=3.621 b=11.564 c=8.500 alpha=90.00 beta=102.28 gamma=90.00
Element x y z (fractional)
Pm 0.191 0.250 0.383
Pm 0.809 0.750 0.617
Dy 0.483 0.750 0.963
Dy 0.517 0.250 0.037
Ho 0.147 0.750 0.291
Ho 0.346 0.002 0.692
Ho 0.346 0.498 0.692
Ho 0.654 0.502 0.308
Ho 0.654 0.998 0.308
Ho 0.853 0.250 0.709

Properties
Fermi-level density of states ... 8.55 states/eV/f.u.
Polymorph energy (0 for the lowest one) ... 317 meV per atom
Final energy ... -21.45 eV/f.u.
Volume ... 34.776 Å³/atom
Space-group type ... P2_1/m (11)
Size of the total moment ... 0.0 Bohr magnetons per cell

***

## Pm4Dy4Ho5 (PBE)

Data for Pm4Dy4Ho5 after structural relaxation.

Unit cell a=9.449 b=9.449 c=9.449 alpha=94.07 beta=94.07 gamma=149.11
Element x y z (fractional)
Pm 0.078 0.617 0.695
Pm 0.383 0.078 0.461
Pm 0.617 0.922 0.539
Pm 0.922 0.383 0.305
Dy 0.153 0.230 0.383
Dy 0.230 0.847 0.076
Dy 0.770 0.153 0.924
Dy 0.847 0.770 0.617
Ho 0.000 0.000 0.000
Ho 0.310 0.461 0.771
Ho 0.461 0.690 0.151
Ho 0.539 0.310 0.849
Ho 0.690 0.539 0.229

Properties
Fermi-level density of states ... 17.71 states/eV/f.u.
Final energy ... -60.07 eV/f.u.
Volume ... 32.114 Å³/atom
Space-group type ... I4/m (87)
Size of the total moment ... 0.0 Bohr magnetons per cell

***

## PmDy4Ho6 (PBE)

Data for PmDy4Ho6 after structural relaxation.

Unit cell a=5.575 b=5.575 c=25.601 alpha=90.00 beta=90.00 gamma=118.69
Element x y z (fractional)
Pm 0.186 0.814 0.750
Pm 0.814 0.186 0.250
Dy 0.158 0.842 0.042
Dy 0.158 0.842 0.458
Dy 0.473 0.527 0.121
Dy 0.473 0.527 0.379
Dy 0.527 0.473 0.621
Dy 0.527 0.473 0.879
Dy 0.842 0.158 0.542
Dy 0.842 0.158 0.958
Ho 0.144 0.856 0.181
Ho 0.144 0.856 0.319
Ho 0.189 0.811 0.603
Ho 0.189 0.811 0.897
Ho 0.479 0.521 0.250
Ho 0.500 0.500 0.000
Ho 0.500 0.500 0.500
Ho 0.521 0.479 0.750
Ho 0.811 0.189 0.103
Ho 0.811 0.189 0.397
Ho 0.856 0.144 0.681
Ho 0.856 0.144 0.819

Properties
Fermi-level density of states ... 19.77 states/eV/f.u.
Polymorph energy (0 for the lowest one) ... 0 meV per atom
Final energy ... -49.26 eV/f.u.
Volume ... 31.722 Å³/atom
Space-group type ... Cmcm (63)
Size of the total moment ... 0.0 Bohr magnetons per cell

***

## Pm3DyHo (PBE)

Data for Pm3DyHo after structural relaxation.

Unit cell a=9.560 b=9.560 c=12.246 alpha=106.21 beta=106.21 gamma=38.26
Element x y z (fractional)
Pm 0.119 0.282 0.250
Pm 0.198 0.701 0.999
Pm 0.282 0.119 0.750
Pm 0.299 0.802 0.501
Pm 0.317 0.484 0.250
Pm 0.484 0.317 0.750
Pm 0.516 0.683 0.250
Pm 0.683 0.516 0.750
Pm 0.701 0.198 0.499
Pm 0.718 0.881 0.250
Pm 0.802 0.299 0.001
Pm 0.881 0.718 0.750
Dy 0.100 0.600 0.501
Dy 0.400 0.900 0.999
Dy 0.600 0.100 0.001
Dy 0.900 0.400 0.499
Ho 0.000 0.500 0.000
Ho 0.084 0.916 0.750
Ho 0.500 0.000 0.500
Ho 0.916 0.084 0.250

Properties
Fermi-level density of states ... 6.57 states/eV/f.u.
Polymorph energy (0 for the lowest one) ... 0 meV per atom
Final energy ... -23.39 eV/f.u.
Volume ... 33.106 Å³/atom
Space-group type ... C2/c (15)
Size of the total moment ... 0.0 Bohr magnetons per cell

***

## Pm4Dy5Ho4 (PBE)

Data for Pm4Dy5Ho4 after structural relaxation.

Unit cell a=9.449 b=9.449 c=9.449 alpha=94.07 beta=94.07 gamma=149.10
Element x y z (fractional)
Pm 0.078 0.617 0.695
Pm 0.383 0.078 0.461
Pm 0.617 0.922 0.539
Pm 0.922 0.383 0.305
Dy 0.000 0.000 0.000
Dy 0.310 0.461 0.771
Dy 0.461 0.690 0.151
Dy 0.539 0.310 0.849
Dy 0.690 0.539 0.229
Ho 0.153 0.230 0.383
Ho 0.230 0.847 0.076
Ho 0.770 0.153 0.924
Ho 0.847 0.770 0.617

Properties
Fermi-level density of states ... 17.71 states/eV/f.u.
Final energy ... -60.10 eV/f.u.
Volume ... 32.127 Å³/atom
Space-group type ... I4/m (87)
Size of the total moment ... 0.0 Bohr magnetons per cell

***

## Pm3Dy2Ho2 (PBE)

Data for Pm3Dy2Ho2 after structural relaxation.

Unit cell a=8.937 b=8.937 c=8.559 alpha=118.30 beta=118.30 gamma=22.68
Element x y z (fractional)
Pm 0.000 0.000 0.000
Pm 0.213 0.213 0.300
Pm 0.787 0.787 0.700
Dy 0.435 0.435 0.590
Dy 0.565 0.565 0.410
Ho 0.145 0.145 0.825
Ho 0.855 0.855 0.175

Properties
Fermi-level density of states ... 10.67 states/eV/f.u.
Polymorph energy (0 for the lowest one) ... 96 meV per atom
Final energy ... -31.83 eV/f.u.
Volume ... 32.959 Å³/atom
Space-group type ... C2/m (12)
Size of the total moment ... 0.0 Bohr magnetons per cell

***

## Pm3Dy5Ho (PBE)

Data for Pm3Dy5Ho after structural relaxation.

Unit cell a=10.478 b=10.478 c=11.575 alpha=120.67 beta=120.67 gamma=34.19
Element x y z (fractional)
Pm 0.000 0.000 0.000
Pm 0.000 0.000 0.500
Pm 0.038 0.600 0.966
Pm 0.400 0.962 0.534
Pm 0.600 0.038 0.466
Pm 0.962 0.400 0.034
Dy 0.018 0.625 0.665
Dy 0.184 0.540 0.354
Dy 0.375 0.982 0.835
Dy 0.430 0.570 0.750
Dy 0.460 0.816 0.146
Dy 0.540 0.184 0.854
Dy 0.570 0.430 0.250
Dy 0.625 0.018 0.165
Dy 0.816 0.460 0.646
Dy 0.982 0.375 0.335
Ho 0.080 0.920 0.250
Ho 0.920 0.080 0.750

Properties
Fermi-level density of states ... 11.10 states/eV/f.u.
Polymorph energy (0 for the lowest one) ... 30 meV per atom
Final energy ... -39.13 eV/f.u.
Volume ... 33.548 Å³/atom
Space-group type ... C2/c (15)
Size of the total moment ... 0.0 Bohr magnetons per cell

***

## Pm4Dy7Ho (PBE)

Data for Pm4Dy7Ho after structural relaxation.

Unit cell a=6.543 b=6.830 c=9.099 alpha=85.34 beta=77.19 gamma=82.05
Element x y z (fractional)
Pm 0.139 0.310 0.283
Pm 0.339 0.884 0.693
Pm 0.661 0.116 0.307
Pm 0.861 0.690 0.717
Dy 0.012 0.253 0.949
Dy 0.183 0.802 0.359
Dy 0.311 0.394 0.615
Dy 0.500 0.000 0.000
Dy 0.689 0.606 0.385
Dy 0.817 0.198 0.641
Dy 0.988 0.747 0.051
Ho 0.500 0.500 0.000

Properties
Fermi-level density of states ... 18.90 states/eV/f.u.
Polymorph energy (0 for the lowest one) ... 0 meV per atom
Final energy ... -54.74 eV/f.u.
Volume ... 32.678 Å³/atom
Space-group type ... P-1 (2)
Size of the total moment ... 0.0 Bohr magnetons per cell

***

## Pm5Dy2Ho3 (PBE)

Data for Pm5Dy2Ho3 after structural relaxation.

Unit cell a=9.188 b=9.188 c=9.942 alpha=108.23 beta=108.23 gamma=108.81
Element x y z (fractional)
Pm 0.019 0.981 0.750
Pm 0.125 0.385 0.761
Pm 0.228 0.772 0.750
Pm 0.385 0.125 0.261
Pm 0.478 0.522 0.250
Pm 0.522 0.478 0.750
Pm 0.615 0.875 0.739
Pm 0.772 0.228 0.250
Pm 0.875 0.615 0.239
Pm 0.981 0.019 0.250
Dy 0.022 0.279 0.055
Dy 0.279 0.022 0.555
Dy 0.721 0.978 0.445
Dy 0.978 0.721 0.945
Ho 0.220 0.471 0.444
Ho 0.274 0.726 0.250
Ho 0.471 0.220 0.944
Ho 0.529 0.780 0.056
Ho 0.726 0.274 0.750
Ho 0.780 0.529 0.556

Properties
Fermi-level density of states ... 18.31 states/eV/f.u.
Final energy ... -44.81 eV/f.u.
Volume ... 33.501 Å³/atom
Space-group type ... C2/c (15)
Size of the total moment ... 0.0 Bohr magnetons per cell

***

## PmDy5Ho2 (PBE)

Data for PmDy5Ho2 after structural relaxation.

Unit cell a=7.105 b=14.213 c=5.011 alpha=90.00 beta=90.00 gamma=90.00
Element x y z (fractional)
Pm 0.000 0.000 0.000
Pm 0.500 0.500 0.000
Dy 0.000 0.500 0.000
Dy 0.001 0.251 0.000
Dy 0.249 0.626 0.500
Dy 0.251 0.126 0.500
Dy 0.499 0.751 0.000
Dy 0.500 0.000 0.000
Dy 0.501 0.249 0.000
Dy 0.749 0.874 0.500
Dy 0.751 0.374 0.500
Dy 0.999 0.749 0.000
Ho 0.250 0.374 0.500
Ho 0.250 0.874 0.500
Ho 0.750 0.126 0.500
Ho 0.750 0.626 0.500

Properties
Fermi-level density of states ... 9.38 states/eV/f.u.
Polymorph energy (0 for the lowest one) ... 0 meV per atom
Final energy ... -36.79 eV/f.u.
Volume ... 31.631 Å³/atom
Space-group type ... Pbam (55)
Size of the total moment ... 0.0 Bohr magnetons per cell

***

## Pm4Dy3Ho8 (PBE)

Data for Pm4Dy3Ho8 after structural relaxation.

Unit cell a=9.260 b=9.260 c=6.739 alpha=111.24 beta=111.24 gamma=87.50
Element x y z (fractional)
Pm 0.000 0.000 0.000
Pm 0.000 0.000 0.500
Pm 0.000 0.500 0.000
Pm 0.500 0.000 0.000
Dy 0.000 0.500 0.500
Dy 0.500 0.000 0.500
Dy 0.500 0.500 0.000
Ho 0.255 0.745 0.000
Ho 0.267 0.267 0.511
Ho 0.270 0.270 0.035
Ho 0.362 0.638 0.500
Ho 0.638 0.362 0.500
Ho 0.730 0.730 0.965
Ho 0.733 0.733 0.489
Ho 0.745 0.255 0.000

Properties
Fermi-level density of states ... 29.95 states/eV/f.u.
Polymorph energy (0 for the lowest one) ... 250 meV per atom
Final energy ... -63.81 eV/f.u.
Volume ... 33.299 Å³/atom
Space-group type ... C2/m (12)
Size of the total moment ... 0.0 Bohr magnetons per cell